(1)
Tm4Sb2PSe after structural relaxation. Source: the Alexandria database, functional GGA-PBE.

The structure in extended XYZ format:
```
8
Lattice="4.144 0.000 0.000 0.000 7.188 0.134 0.000 -2.504 6.786" Properties=species:S:1:pos:R:3 pbc="T T T"
P 0.000 0.000 0.000
Se 2.072 3.594 0.067
Tm 2.072 1.112 1.582
Tm 0.000 4.834 1.690
Tm 0.000 -0.151 5.230
Tm 2.072 3.572 5.338
Sb 0.000 2.342 3.460
Sb 2.072 -1.252 3.393
```

Results
calculated total energy	-5.739	eV per atom
spin magnetization	0.0	Bohr magnetons per cell



(2)
PrNd2ErTl2 after structural relaxation. Source: the Alexandria database, functional GGA-PBE.

The structure in extended XYZ format:
```
12
Lattice="5.205 0.000 0.000 0.000 6.999 0.000 0.000 0.000 10.245" Properties=species:S:1:pos:R:3 pbc="T T T"
Tl 2.602 1.567 3.821
Tl 2.602 5.067 6.424
Tl 0.000 5.579 1.453
Tl 0.000 2.079 8.792
Er 2.602 4.719 3.185
Er 2.602 1.219 7.060
Pr 0.000 3.208 5.595
Pr 0.000 6.708 4.650
Nd 2.602 0.395 0.496
Nd 0.000 2.350 1.865
Nd 2.602 3.895 9.749
Nd 0.000 5.850 8.380
```

Results
calculated formation energy	-268	meV per atom
spin magnetization	0.0	Bohr magnetons per cell